1.
Density functional theory data (PBE) for a geometry-optimized KB4W structure.

Lattice parameters (Å, degrees): 3.0209 3.0209 8.3293 90.00 90.00 120.00
Space group P6/mmm (No. 191)
Symmetry-distinct sites (fractional):
1 K 0.0000 0.0000 0.0000
2 B 0.3333 0.6667 0.3008
3 W 0.0000 0.0000 0.5000

Output
For the raw total energy, the calculation gives -6.8432 eV per atom.


2.
Density functional theory data (PBE) for a geometry-optimized KBW structure.

Lattice parameters (Å, degrees): 6.612 6.612 6.612 90.00 90.00 90.00
Space group F-43m (No. 216)
Symmetry-distinct sites (fractional):
1 K 0.000 0.000 0.000
2 B 0.250 0.250 0.750
3 W 0.250 0.250 0.250

Output
For the raw total energy, the calculation gives -3.3091 eV per atom.


3.
Density functional theory data (PBE) for a geometry-optimized KBW structure.

Lattice parameters (Å, degrees): 5.983 5.983 5.983 90.00 90.00 90.00
Space group F-43m (No. 216)
Symmetry-distinct sites (fractional):
1 K 0.000 0.000 0.000
2 B 0.250 0.250 0.250
3 W 0.000 0.000 0.500

Output
For the raw total energy, the calculation gives -4.5855 eV per atom.


4.
Density functional theory data (PBE) for a geometry-optimized KB4W structure.

Lattice parameters (Å, degrees): 3.038 5.581 7.292 90.00 90.00 90.00
Space group Immm (No. 71)
Symmetry-distinct sites (fractional):
1 K 0.000 0.000 0.000
2 B 0.000 0.338 0.237
3 W 0.000 0.000 0.500

Output
For the raw total energy, the calculation gives -6.2509 eV per atom.


5.
Density functional theory data (PBE) for a geometry-optimized KZrB structure.

Lattice parameters (Å, degrees): 6.228 6.228 6.228 90.00 90.00 90.00
Space group F-43m (No. 216)
Symmetry-distinct sites (fractional):
1 K 0.000 0.000 0.000
2 Zr 0.250 0.250 0.250
3 B 0.250 0.250 0.750

Output
For the raw total energy, the calculation gives -3.2161 eV per atom.


6.
Density functional theory data (PBE) for a geometry-optimized KZrB structure.

Lattice parameters (Å, degrees): 6.360 6.360 6.360 90.00 90.00 90.00
Space group F-43m (No. 216)
Symmetry-distinct sites (fractional):
1 K 0.000 0.000 0.000
2 Zr 0.000 0.000 0.500
3 B 0.250 0.250 0.250

Output
For the raw total energy, the calculation gives -4.1442 eV per atom.


7.
Density functional theory data (PBE) for a geometry-optimized LaLuB structure.

Lattice parameters (Å, degrees): 6.516 6.516 6.516 90.00 90.00 90.00
Space group F-43m (No. 216)
Symmetry-distinct sites (fractional):
1 La 0.000 0.000 0.000
2 Lu 0.000 0.000 0.500
3 B 0.250 0.250 0.250

Output
For the raw total energy, the calculation gives -5.2297 eV per atom.


8.
Density functional theory data (PBE) for a geometry-optimized LaMgBPd structure.

Lattice parameters (Å, degrees): 6.627 6.627 6.627 90.00 90.00 90.00
Space group F-43m (No. 216)
Symmetry-distinct sites (fractional):
1 La 0.000 0.000 0.000
2 Mg 0.250 0.250 0.750
3 B 0.000 0.000 0.500
4 Pd 0.250 0.250 0.250

Output
For the raw total energy, the calculation gives -4.2777 eV per atom.


9.
Density functional theory data (PBE) for a geometry-optimized LaMgBPd structure.

Lattice parameters (Å, degrees): 6.737 6.737 6.737 90.00 90.00 90.00
Space group F-43m (No. 216)
Symmetry-distinct sites (fractional):
1 La 0.000 0.000 0.000
2 Mg 0.000 0.000 0.500
3 B 0.250 0.250 0.750
4 Pd 0.250 0.250 0.250

Output
For the raw total energy, the calculation gives -4.5875 eV per atom.


10.
Density functional theory data (PBE) for a geometry-optimized La2NdB2N4 structure.

Lattice parameters (Å, degrees): 3.567 6.353 10.947 90.00 90.00 90.00
Space group Immm (No. 71)
Symmetry-distinct sites (fractional):
1 La 0.000 0.000 0.201
2 Nd 0.000 0.500 0.000
3 B 0.000 0.357 0.500
4 N 0.000 0.242 0.383

Output
For the raw total energy, the calculation gives -8.1216 eV per atom.


11.
Density functional theory data (PBE) for a geometry-optimized LaNd2B2N4 structure.

Lattice parameters (Å, degrees): 3.568 6.308 10.808 90.00 90.00 90.00
Space group Immm (No. 71)
Symmetry-distinct sites (fractional):
1 La 0.000 0.000 0.000
2 Nd 0.000 0.500 0.201
3 B 0.000 0.142 0.500
4 N 0.000 0.254 0.380

Output
For the raw total energy, the calculation gives -8.1141 eV per atom.


12.
Density functional theory data (PBE) for a geometry-optimized La2NdNi2B2N3 structure.

Lattice parameters (Å, degrees): 3.734 3.734 19.727 90.00 90.00 90.00
Space group I4/mmm (No. 139)
Symmetry-distinct sites (fractional):
1 La 0.000 0.000 0.129
2 Nd 0.000 0.000 0.500
3 Ni 0.000 0.500 0.250
4 B 0.000 0.000 0.301
5 N 0.000 0.000 0.000
6 N 0.000 0.000 0.375

Output
For the raw total energy, the calculation gives -7.4499 eV per atom.


13.
Density functional theory data (PBE) for a geometry-optimized LaNdNi2B2N2 structure.

Lattice parameters (Å, degrees): 3.685 3.685 7.484 90.00 90.00 90.00
Space group P4mm (No. 99)
Symmetry-distinct sites (fractional):
1 La 0.000 0.000 0.000
2 Nd 0.500 0.500 0.348
3 Ni 0.000 0.500 0.672
4 B 0.000 0.000 0.528
5 B 0.500 0.500 0.819
6 N 0.000 0.000 0.334
7 N 0.500 0.500 0.014

Output
For the raw total energy, the calculation gives -7.3144 eV per atom.


14.
Density functional theory data (PBE) for a geometry-optimized LaNd2Ni2B2N3 structure.

Lattice parameters (Å, degrees): 3.654 3.654 20.466 90.00 90.00 90.00
Space group I4/mmm (No. 139)
Symmetry-distinct sites (fractional):
1 La 0.000 0.000 0.000
2 Nd 0.000 0.000 0.373
3 Ni 0.000 0.500 0.250
4 B 0.000 0.000 0.194
5 N 0.000 0.000 0.124
6 N 0.000 0.000 0.500

Output
For the raw total energy, the calculation gives -7.4349 eV per atom.